No. 1
The following is a PBE calculation of YTa3Hg after structural relaxation, from the Alexandria database.

The structure in POSCAR format:
```
YTa3Hg
1.0
-2.6055 2.2023 3.5885
-2.1620 -4.3210 1.0822
3.6129 -0.9974 3.2354
Hg Ta Y
1 3 1
Cartesian
-0.5773 -1.5580 3.9530 Hg
1.8065 -0.4987 1.6177 Ta
-1.0810 -2.1605 0.5411 Ta
-1.3028 1.1012 1.7942 Ta
0.0000 0.0000 0.0000 Y
```

Computed properties:
total magnetic moment = 0.000 μB per formula unit
calculated formation energy = 2.32 eV per atom
distance to the lowest polymorph of the same formula = 545 meV/atom

***

No. 2
The following is a PBE calculation of YTaHg2 after structural relaxation, from the Alexandria database.

The structure in POSCAR format:
```
YTaHg2
1.0
0.0000 3.5408 3.5408
3.5408 0.0000 3.5408
3.5408 3.5408 0.0000
Hg Ta Y
2 1 1
Cartesian
5.3112 5.3112 5.3112 Hg
1.7704 1.7704 1.7704 Hg
3.5408 3.5408 3.5408 Ta
0.0000 0.0000 0.0000 Y
```

Computed properties:
total magnetic moment = 0.000 μB per formula unit
calculated formation energy = 0.18 eV per atom
distance to the lowest polymorph of the same formula = 91 meV/atom

***

No. 3
The following is a PBE calculation of YTa2Hg after structural relaxation, from the Alexandria database.

The structure in POSCAR format:
```
YTa2Hg
1.0
5.6632 -0.0054 0.0000
2.5489 5.0572 0.0000
-4.1060 -2.5259 2.9719
Hg Ta Y
1 2 1
Cartesian
2.8316 -0.0027 1.4860 Hg
4.1060 2.5259 0.0000 Ta
0.0000 0.0000 0.0000 Ta
1.2744 2.5286 1.4860 Y
```

Computed properties:
total magnetic moment = 0.000 μB per formula unit
calculated formation energy = 0.31 eV per atom

***

No. 4
The following is a PBE calculation of YTa2Hg after structural relaxation, from the Alexandria database.

The structure in POSCAR format:
```
YTa2Hg
1.0
-1.1723 4.9635 -2.4739
0.4514 -4.5169 -3.3949
-2.9077 -0.5288 0.3169
Ta Y Hg
2 1 1
Cartesian
0.0000 0.0000 0.0000 Ta
-0.3604 0.2233 -2.9344 Ta
-2.0400 2.2174 -1.0785 Y
-1.2281 -2.5228 -1.5390 Hg
```

Computed properties:
total magnetic moment = 0.000 μB per formula unit
calculated formation energy = 0.49 eV per atom

***

No. 5
The following is a PBE calculation of YTa2Hg after structural relaxation, from the Alexandria database.

The structure in POSCAR format:
```
YTa2Hg
1.0
-2.5111 -1.6957 0.2000
2.2554 -1.8963 -0.7336
1.7669 -1.5141 9.3468
Ta Hg Y
2 1 1
Cartesian
0.2788 -2.1445 1.8844 Ta
0.0225 -0.0193 0.1193 Ta
1.2241 -2.9546 6.8851 Hg
0.8692 -0.7448 4.5979 Y
```

Computed properties:
total magnetic moment = 0.000 μB per formula unit
calculated formation energy = 0.20 eV per atom

***

No. 6
The following is a PBE calculation of YTaHg2 after structural relaxation, from the Alexandria database.

The structure in POSCAR format:
```
YTaHg2
1.0
5.1731 0.0000 0.0000
0.0000 3.2583 -0.0020
0.0000 0.0025 5.2024
Hg Ta Y
2 1 1
Cartesian
0.0000 0.4100 4.7092 Hg
2.5866 0.4069 1.8358 Hg
0.0000 2.0392 2.0517 Ta
2.5866 2.0376 4.4063 Y
```

Computed properties:
total magnetic moment = 0.232 μB per formula unit
calculated formation energy = 0.16 eV per atom
distance to the lowest polymorph of the same formula = 78 meV/atom

***

Question: Look up the calculated formation energy of the second one.
Answer: 0.18 eV per atom

***

Question: The highest total magnetic moment belongs to which entry?
Answer: number 6

***

Question: What is the formula in the fourth record?
Answer: YTa2Hg